1.
## Ce2SnPd6 (PBE)

Data for crystalline Ce2SnPd6 at its relaxed geometry.

## Properties
The formation energy comes out at -0.70 eV per atom. Its raw total energy is -5.926 eV per atom.

Unit cell a=5.7633 b=5.7633 c=6.1766 alpha=90.00 beta=90.00 gamma=120.00
Space group P-3m1 (No. 164)
Symmetry-distinct sites (fractional):
Ce  0.3333  0.6667  0.1965 (multiplicity 2)
Sn  0.0000  0.0000  0.0000 (multiplicity 1)
Pd  0.1749  0.3497  0.6776 (multiplicity 6)

=====

2.
## Ce2SnPd (PBE)

Data for crystalline Ce2SnPd at its relaxed geometry.

## Properties
The formation energy comes out at -0.07 eV per atom. Its raw total energy is -5.333 eV per atom.

Unit cell a=3.2474 b=3.2474 c=33.4116 alpha=90.00 beta=90.00 gamma=120.00
Space group R-3m (No. 166, hexagonal axes)
Symmetry-distinct sites (fractional):
Ce  0.0000  0.0000  0.0966 (multiplicity 6)
Sn  0.0000  0.0000  0.0000 (multiplicity 3)
Pd  0.0000  0.0000  0.5000 (multiplicity 3)

=====

3.
## CeSn2Pd (PBE)

Data for crystalline CeSn2Pd at its relaxed geometry.

## Properties
The formation energy comes out at -0.60 eV per atom. Its raw total energy is -5.386 eV per atom.

Unit cell a=5.8574 b=7.5752 c=4.5573 alpha=90.00 beta=90.00 gamma=90.00
Space group Cmmm (No. 65)
Symmetry-distinct sites (fractional):
Ce  0.0000  0.0000  0.0000 (multiplicity 2)
Sn  0.0000  0.3018  0.5000 (multiplicity 4)
Pd  0.0000  0.5000  0.0000 (multiplicity 2)

=====

4.
## CeSn2Pd3 (PBE)

Data for crystalline CeSn2Pd3 at its relaxed geometry.

## Properties
The formation energy comes out at -0.68 eV per atom. Its raw total energy is -5.597 eV per atom.

Unit cell a=17.7681 b=4.3205 c=10.3608 alpha=90.00 beta=107.13 gamma=90.00
Space group C2/m (No. 12)
Symmetry-distinct sites (fractional):
Ce  0.0000  0.0000  0.0000 (multiplicity 2)
Ce  0.1647  0.0000  0.7053 (multiplicity 4)
Sn  0.0438  0.5000  0.7781 (multiplicity 4)
Sn  0.1374  0.5000  0.4515 (multiplicity 4)
Sn  0.1938  0.0000  0.1304 (multiplicity 4)
Pd  0.0000  0.5000  0.5000 (multiplicity 2)
Pd  0.0439  0.0000  0.3218 (multiplicity 4)
Pd  0.1077  0.5000  0.1800 (multiplicity 4)
Pd  0.1830  0.5000  0.9673 (multiplicity 4)
Pd  0.2154  0.0000  0.3961 (multiplicity 4)